Te2OsW: optimized geometry, PBE.

It has space group I-42d (No. 122), with a = 6.039 Å, b = 6.039 Å, c = 11.826 Å, α = 90.00°, β = 90.00° and γ = 90.00°. The asymmetric unit holds Te at (0.238, 0.250, 0.125), Os at (0.000, 0.000, 0.000) and W at (0.000, 0.000, 0.500).

Its relative energy among the computed polymorphs is 725 meV/atom. The spin magnetization comes out at 0.93 μB per formula unit. Its uncorrected formation energy is 1095.3 meV per atom.